MgCdOsW | GGA-PBE | optimized geometry

Cell: 4.5188 4.5188 4.5188 Å, 60.00 60.00 60.00°
Fractional positions:
Mg  0.0000  0.0000  0.0000
Cd  0.7500  0.7500  0.7500
Os  0.5000  0.5000  0.5000
W  0.2500  0.2500  0.2500

Properties
Uncorrected energy: -6.3385 eV per atom
M_tot: 0.00 μB per formula unit